[1]
# PBEsol SiHgCl4, optimized geometry
data_SiHgCl4
_symmetry_space_group_name_H-M 'F -4 3 m'
_symmetry_Int_Tables_number 216
_symmetry_space_group_name_Hall 'F -4 2 3'
_cell_length_a 8.107
_cell_length_b 8.107
_cell_length_c 8.107
_cell_angle_alpha 90.00
_cell_angle_beta 90.00
_cell_angle_gamma 90.00
loop_
_atom_site_label
_atom_site_type_symbol
_atom_site_fract_x
_atom_site_fract_y
_atom_site_fract_z
Si1 Si 0.000 0.000 0.000
Hg1 Hg 0.250 0.250 0.750
Cl1 Cl 0.125 0.125 0.375
# * volume: 533 Å³/cell
# * ρ: 4.62 g cm⁻³
# * ΔE_f (raw): 0.60 eV/atom
# * density of states at the Fermi level: 0.7436 states/eV per atom
# * magnetic moment: 1.881 μB/f.u.



[2]
# PBEsol FeTc2Hg, optimized geometry
data_FeTc2Hg
_symmetry_space_group_name_H-M 'R -3 m'
_symmetry_Int_Tables_number 166
_symmetry_space_group_name_Hall '-R 3 2"'
_cell_length_a 2.7324
_cell_length_b 2.7324
_cell_length_c 26.9509
_cell_angle_alpha 90.00
_cell_angle_beta 90.00
_cell_angle_gamma 120.00
loop_
_atom_site_label
_atom_site_type_symbol
_atom_site_fract_x
_atom_site_fract_y
_atom_site_fract_z
Fe1 Fe 0.0000 0.0000 0.0000
Tc1 Tc 0.0000 0.0000 0.2599
Hg1 Hg 0.0000 0.0000 0.5000
# * volume: 174 Å³/cell
# * ρ: 12.93 g cm⁻³
# * ΔH_f (0 K): 0.39 eV per atom
# * density of states at the Fermi level: 0.8740 states/eV per atom
# * magnetic moment: 1.330 μB/f.u.



[3]
# PBEsol HoInAg2, optimized geometry
data_HoInAg2
_symmetry_space_group_name_H-M 'F m -3 m'
_symmetry_Int_Tables_number 225
_symmetry_space_group_name_Hall '-F 4 2 3'
_cell_length_a 6.836
_cell_length_b 6.836
_cell_length_c 6.836
_cell_angle_alpha 90.00
_cell_angle_beta 90.00
_cell_angle_gamma 90.00
loop_
_atom_site_label
_atom_site_type_symbol
_atom_site_fract_x
_atom_site_fract_y
_atom_site_fract_z
Ho1 Ho 0.000 0.000 0.000
In1 In 0.000 0.000 0.500
Ag1 Ag 0.250 0.250 0.250
# * volume: 319 Å³/cell
# * ρ: 10.30 g cm⁻³
# * ΔH_f (0 K): -0.40 eV per atom
# * density of states at the Fermi level: 0.3458 states/eV per atom
# * magnetic moment: 0.000 μB/f.u.



[4]
# PBEsol LiSb3P2O10, optimized geometry
data_LiSb3P2O10
_symmetry_space_group_name_H-M 'P 1'
_symmetry_Int_Tables_number 1
_cell_length_a 5.304
_cell_length_b 6.757
_cell_length_c 7.072
_cell_angle_alpha 112.84
_cell_angle_beta 108.54
_cell_angle_gamma 95.34
loop_
_symmetry_equiv_pos_as_xyz
'x,y,z'
loop_
_atom_site_label
_atom_site_type_symbol
_atom_site_fract_x
_atom_site_fract_y
_atom_site_fract_z
Li1 Li 0.000 0.000 0.000
Sb1 Sb 0.008 0.605 0.148
Sb2 Sb 0.449 0.732 0.881
Sb3 Sb 0.634 0.063 0.435
P1 P 0.396 0.180 0.825
P2 P 0.703 0.586 0.490
O1 O 0.129 0.143 0.854
O2 O 0.315 0.890 0.140
O3 O 0.339 0.117 0.576
O4 O 0.507 0.727 0.427
O5 O 0.544 0.341 0.362
O6 O 0.562 0.430 0.965
O7 O 0.596 0.047 0.908
O8 O 0.809 0.845 0.149
O9 O 0.811 0.664 0.745
O10 O 0.961 0.627 0.434
# * volume: 215 Å³/cell
# * ρ: 4.60 g cm⁻³
# * ΔE_f (raw): -1.85 eV/atom
# * density of states at the Fermi level: 0.0000 states/eV per atom
# * magnetic moment: 0.000 μB/f.u.



[5]
# PBEsol YMgP, optimized geometry
data_YMgP
_symmetry_space_group_name_H-M 'I m m 2'
_symmetry_Int_Tables_number 44
_cell_length_a 3.157
_cell_length_b 3.547
_cell_length_c 11.428
_cell_angle_alpha 90.00
_cell_angle_beta 90.00
_cell_angle_gamma 90.00
loop_
_symmetry_equiv_pos_as_xyz
'x,y,z'
'-x,-y,z'
'-x,y,z'
'x,-y,z'
'x+1/2,y+1/2,z+1/2'
'-x+1/2,-y+1/2,z+1/2'
'-x+1/2,y+1/2,z+1/2'
'x+1/2,-y+1/2,z+1/2'
loop_
_atom_site_label
_atom_site_type_symbol
_atom_site_fract_x
_atom_site_fract_y
_atom_site_fract_z
Y1 Y 0.000 0.000 0.000
Mg1 Mg 0.000 0.000 0.275
P1 P 0.000 0.000 0.640
# * volume: 128 Å³/cell
# * ρ: 3.74 g cm⁻³
# * ΔH_f (0 K): -0.55 eV per atom
# * density of states at the Fermi level: 0.3860 states/eV per atom
# * polymorph energy (0 for the lowest one): 0 meV/atom
# * magnetic moment: 0.000 μB/f.u.



[6]
# PBEsol MnZnS2, optimized geometry
data_MnZnS2
_symmetry_space_group_name_H-M 'P 3 m 1'
_symmetry_Int_Tables_number 156
_cell_length_a 3.8439
_cell_length_b 3.8439
_cell_length_c 6.3110
_cell_angle_alpha 90.00
_cell_angle_beta 90.00
_cell_angle_gamma 120.00
loop_
_symmetry_equiv_pos_as_xyz
'x,y,z'
'-y,x-y,z'
'-x+y,-x,z'
'-y,-x,z'
'-x+y,y,z'
'x,x-y,z'
loop_
_atom_site_label
_atom_site_type_symbol
_atom_site_fract_x
_atom_site_fract_y
_atom_site_fract_z
Mn1 Mn 0.0000 0.0000 0.0000
Zn1 Zn 0.3333 0.6667 0.4958
S1 S 0.0000 0.0000 0.3757
S2 S 0.3333 0.6667 0.8635
# * volume: 81 Å³/cell
# * ρ: 3.79 g cm⁻³
# * ΔE_f (raw): -0.57 eV/atom
# * density of states at the Fermi level: 0.0218 states/eV per atom
# * magnetic moment: 5.003 μB/f.u.